No. 1
! GGA-PBE Ac3Cu4Ni2, relaxed; values from VASP
&SYSTEM
  ibrav = 0, nat = 9, ntyp = 3
/
ATOMIC_SPECIES
Ac 227.00 Ac.upf
Cu 63.55 Cu.upf
Ni 58.69 Ni.upf
CELL_PARAMETERS angstrom
5.576 -2.145 0.000
5.576 2.145 0.000
-1.962 0.000 8.329
ATOMIC_POSITIONS crystal
Ac 0.000 0.000 0.000
Ac 0.330 0.330 0.338
Ac 0.670 0.670 0.662
Cu 0.053 0.053 0.385
Cu 0.279 0.279 0.941
Cu 0.721 0.721 0.059
Cu 0.947 0.947 0.615
Ni 0.390 0.390 0.723
Ni 0.610 0.610 0.277
! - Volume: 22.1 A^3/atom
! - Total DFT energy (no corrections): -4.70 eV/atom
! - Density: 8.78 g/cm3
! - SG: No. 12
! - ΔE_f: -228 meV/atom

No. 2
! GGA-PBE RbPu2Cl8, relaxed; values from VASP
&SYSTEM
  ibrav = 0, nat = 11, ntyp = 3
/
ATOMIC_SPECIES
Rb 85.47 Rb.upf
Pu 244.00 Pu.upf
Cl 35.45 Cl.upf
CELL_PARAMETERS angstrom
4.261 -6.473 0.000
4.261 6.473 0.000
-0.797 0.000 5.383
ATOMIC_POSITIONS crystal
Rb 0.000 0.000 0.000
Pu 0.323 0.677 0.500
Pu 0.677 0.323 0.500
Cl 0.049 0.331 0.575
Cl 0.268 0.732 0.000
Cl 0.331 0.049 0.575
Cl 0.402 0.402 0.232
Cl 0.598 0.598 0.768
Cl 0.669 0.951 0.425
Cl 0.732 0.268 0.000
Cl 0.951 0.669 0.425
! - Volume: 27.0 A^3/atom
! - Total DFT energy (no corrections): -5.85 eV/atom
! - Density: 4.79 g/cm3
! - Excess energy over the best structure of this formula in the dataset: 0 kJ/mol of formula units
! - SG: No. 12
! - Uncorrected formation energy: -1.8106 eV/atom